! NaAlCdF6 | Alexandria | PBE | optimized geometry; values from VASP
&SYSTEM
  ibrav = 0, nat = 18, ntyp = 4
/
ATOMIC_SPECIES
F 19.00 F.upf
Cd 112.41 Cd.upf
Al 26.98 Al.upf
Na 22.99 Na.upf
CELL_PARAMETERS angstrom
4.945 0.000 0.000
0.000 4.945 0.000
0.000 0.000 9.770
ATOMIC_POSITIONS crystal
F 0.822 0.178 0.472
F 0.237 0.763 0.831
F 0.678 0.678 0.972
F 0.819 0.181 0.196
F 0.319 0.319 0.696
F 0.681 0.681 0.696
F 0.322 0.322 0.972
F 0.763 0.237 0.831
F 0.181 0.819 0.196
F 0.737 0.737 0.331
F 0.263 0.263 0.331
F 0.178 0.822 0.472
Cd 0.000 0.000 0.670
Cd 0.500 0.500 0.170
Al 0.000 0.000 0.333
Al 0.500 0.500 0.833
Na 0.000 0.000 0.998
Na 0.500 0.500 0.498
! ΔE to the lowest computed polymorph   11 meV per atom
! ΔE_f (raw)   -2.951 eV/atom
! Density of states at the Fermi level   0.00 states/eV/atom
! Symmetry   P4_2nm (102)